Version A
A plane-wave DFT calculation with GGA-PBE was carried out for crystalline LaMgAl2Ru at its relaxed geometry.

Results
theoretical density = 4.8 g/cm3
DOS(E_F) = 2.231 states/eV/f.u.

Cell and atoms, written as POSCAR:
```
LaMgAl2Ru
1.0
4.750 0.000 0.000
0.000 4.750 0.000
0.000 0.000 4.917
La Mg Al Ru
1 1 2 1
direct
0.000 0.000 0.000
0.500 0.500 0.000
0.000 0.500 0.500
0.500 0.000 0.500
0.500 0.500 0.500
```

Version B
A plane-wave DFT calculation with GGA-PBE was carried out for crystalline LaMgAl2Ru at its relaxed geometry.

Results
theoretical density = 3.3 g/cm3
DOS(E_F) = 11.454 states/eV/f.u.

Cell and atoms, written as POSCAR:
```
LaMgAl2Ru
1.0
5.369 0.000 0.000
0.000 5.369 0.000
0.000 0.000 5.570
La Mg Al Ru
1 1 2 1
direct
0.000 0.000 0.000
0.000 0.000 0.500
0.000 0.500 0.000
0.500 0.000 0.000
0.500 0.500 0.500
```

Bottom line: version A, by a margin of 2.441 eV/atom.

Version A
A plane-wave DFT calculation with GGA-PBE was carried out for crystalline La2MnAlN at its relaxed geometry.

Results
theoretical density = 6.0 g/cm3
DOS(E_F) = 3.181 states/eV/f.u.

Cell and atoms, written as POSCAR:
```
La2MnAlN
1.0
5.307 0.000 0.000
0.000 5.307 0.000
0.000 0.000 3.683
La Mn Al N
2 1 1 1
direct
0.000 0.500 0.000
0.500 0.000 0.000
0.000 0.000 0.500
0.500 0.500 0.500
0.000 0.000 0.000
```

Version B
A plane-wave DFT calculation with GGA-PBE was carried out for crystalline La2MnAlN at its relaxed geometry.

Results
theoretical density = 5.6 g/cm3
DOS(E_F) = 2.541 states/eV/f.u.

Cell and atoms, written as POSCAR:
```
La2MnAlN
1.0
4.999 0.000 0.000
0.000 4.999 0.000
0.000 0.000 4.467
La Mn Al N
2 1 1 1
direct
0.000 0.500 0.000
0.500 0.000 0.000
0.000 0.000 0.000
0.000 0.000 0.500
0.500 0.500 0.500
```

Bottom line: version A, by a margin of 0.989 eV/atom.

Version A
A plane-wave DFT calculation with GGA-PBE was carried out for crystalline La2MnAlPb at its relaxed geometry.

Results
theoretical density = 5.6 g/cm3
DOS(E_F) = 11.508 states/eV/f.u.

Cell and atoms, written as POSCAR:
```
La2MnAlPb
1.0
5.732 0.000 0.000
0.000 5.732 0.000
0.000 0.000 5.086
La Mn Al Pb
2 1 1 1
direct
0.000 0.500 0.000
0.500 0.000 0.000
0.000 0.000 0.500
0.500 0.500 0.000
0.500 0.500 0.500
```

Version B
A plane-wave DFT calculation with GGA-PBE was carried out for crystalline La2MnAlPb at its relaxed geometry.

Results
theoretical density = 5.3 g/cm3
DOS(E_F) = 8.902 states/eV/f.u.

Cell and atoms, written as POSCAR:
```
La2MnAlPb
1.0
6.054 0.000 0.000
0.000 6.054 0.000
0.000 0.000 4.831
La Mn Al Pb
2 1 1 1
direct
0.000 0.500 0.000
0.500 0.000 0.000
0.000 0.000 0.500
0.500 0.500 0.500
0.000 0.000 0.000
```

Bottom line: version B, by a margin of 0.182 eV/atom.

Version A
A plane-wave DFT calculation with GGA-PBE was carried out for crystalline LaSc2MnAl at its relaxed geometry.

Results
theoretical density = 4.5 g/cm3
DOS(E_F) = 3.708 states/eV/f.u.

Cell and atoms, written as POSCAR:
```
LaSc2MnAl
1.0
4.818 0.000 0.000
0.000 4.818 0.000
0.000 0.000 4.927
La Sc Mn Al
1 2 1 1
direct
0.000 0.000 0.000
0.000 0.500 0.500
0.500 0.000 0.500
0.500 0.500 0.500
0.500 0.500 0.000
```

Version B
A plane-wave DFT calculation with GGA-PBE was carried out for crystalline LaSc2MnAl at its relaxed geometry.

Results
theoretical density = 3.5 g/cm3
DOS(E_F) = 12.861 states/eV/f.u.

Cell and atoms, written as POSCAR:
```
LaSc2MnAl
1.0
5.080 0.000 0.000
0.000 5.080 0.000
0.000 0.000 5.693
La Sc Mn Al
1 2 1 1
direct
0.000 0.000 0.000
0.000 0.500 0.500
0.500 0.000 0.500
0.500 0.500 0.000
0.000 0.000 0.500
```

Bottom line: version A, by a margin of 1.149 eV/atom.

Version A
A plane-wave DFT calculation with GGA-PBE was carried out for crystalline LaAlMo at its relaxed geometry.

Results
theoretical density = 7.0 g/cm3
DOS(E_F) = 2.631 states/eV/f.u.

Cell and atoms, written as POSCAR:
```
LaAlMo
1.0
-1.479 1.479 7.106
1.479 -1.479 7.106
1.479 1.479 -7.106
La Al Mo
1 1 1
direct
0.000 0.000 0.000
0.687 0.687 0.000
0.316 0.316 0.000
```

Version B
A plane-wave DFT calculation with GGA-PBE was carried out for crystalline LaAlMo at its relaxed geometry.

Results
theoretical density = 6.3 g/cm3
DOS(E_F) = 1.658 states/eV/f.u.

Cell and atoms, written as POSCAR:
```
LaAlMo
1.0
0.000 3.252 3.252
3.252 0.000 3.252
3.252 3.252 0.000
La Al Mo
1 1 1
direct
0.000 0.000 0.000
0.500 0.500 0.500
0.250 0.250 0.250
```

Version C
A plane-wave DFT calculation with GGA-PBE was carried out for crystalline LaAlMo at its relaxed geometry.

Results
theoretical density = 6.5 g/cm3
DOS(E_F) = 1.729 states/eV/f.u.

Cell and atoms, written as POSCAR:
```
LaAlMo
1.0
-1.820 1.820 5.028
1.820 -1.820 5.028
1.820 1.820 -5.028
La Al Mo
1 1 1
direct
0.000 0.000 0.000
0.705 0.705 0.000
0.274 0.274 0.000
```

Bottom line: version C, by a margin of 0.123 eV/atom.

Version A
A plane-wave DFT calculation with GGA-PBE was carried out for crystalline LaAlMo at its relaxed geometry.

Results
theoretical density = 6.2 g/cm3
DOS(E_F) = 3.937 states/eV/f.u.

Cell and atoms, written as POSCAR:
```
LaAlMo
1.0
4.556 0.000 0.000
-2.278 3.945 0.000
0.000 0.000 3.928
La Al Mo
1 1 1
direct
0.000 0.000 0.000
0.667 0.333 0.500
0.333 0.667 0.500
```

Version B
A plane-wave DFT calculation with GGA-PBE was carried out for crystalline LaAlMo at its relaxed geometry.

Results
theoretical density = 7.0 g/cm3
DOS(E_F) = 2.778 states/eV/f.u.

Cell and atoms, written as POSCAR:
```
LaAlMo
1.0
2.999 0.000 0.000
-1.499 2.597 0.000
0.000 0.000 7.962
La Al Mo
1 1 1
direct
0.000 0.000 0.000
0.667 0.333 0.630
0.333 0.667 0.361
```

Version C
A plane-wave DFT calculation with GGA-PBE was carried out for crystalline LaAlMo at its relaxed geometry.

Results
theoretical density = 5.1 g/cm3
DOS(E_F) = 3.330 states/eV/f.u.

Cell and atoms, written as POSCAR:
```
LaAlMo
1.0
0.000 3.496 3.496
3.496 0.000 3.496
3.496 3.496 0.000
La Al Mo
1 1 1
direct
0.000 0.000 0.000
0.250 0.250 0.250
0.750 0.750 0.750
```

Bottom line: version A, by a margin of 0.137 eV/atom.

Version A
A plane-wave DFT calculation with GGA-PBE was carried out for crystalline LaAl2Mo at its relaxed geometry.

Results
theoretical density = 6.0 g/cm3
DOS(E_F) = 3.215 states/eV/f.u.

Cell and atoms, written as POSCAR:
```
LaAl2Mo
1.0
3.079 -4.298 0.000
3.079 4.298 0.000
-0.231 0.000 3.024
La Al Mo
1 2 1
direct
0.000 0.000 0.000
0.000 0.500 0.500
0.500 0.000 0.500
0.500 0.500 0.000
```

Version B
A plane-wave DFT calculation with GGA-PBE was carried out for crystalline LaAl2Mo at its relaxed geometry.

Results
theoretical density = 4.7 g/cm3
DOS(E_F) = 3.482 states/eV/f.u.

Cell and atoms, written as POSCAR:
```
LaAl2Mo
1.0
-2.378 2.378 9.062
2.378 -2.378 9.062
2.378 2.378 -9.062
La Al Mo
2 4 2
direct
0.000 0.000 0.000
0.750 0.250 0.500
0.298 0.625 0.173
0.375 0.548 0.673
0.452 0.125 0.827
0.875 0.702 0.327
0.250 0.750 0.500
0.500 0.500 0.000
```

Version C
A plane-wave DFT calculation with GGA-PBE was carried out for crystalline LaAl2Mo at its relaxed geometry.

Results
theoretical density = 5.9 g/cm3
DOS(E_F) = 4.451 states/eV/f.u.

Cell and atoms, written as POSCAR:
```
LaAl2Mo
1.0
1.527 0.882 9.996
-1.527 0.882 9.996
0.000 -1.763 9.996
La Al Mo
1 2 1
direct
0.000 0.000 0.000
0.236 0.236 0.236
0.764 0.764 0.764
0.500 0.500 0.500
```

Version D
A plane-wave DFT calculation with GGA-PBE was carried out for crystalline LaAl2Mo at its relaxed geometry.

Results
theoretical density = 5.8 g/cm3
DOS(E_F) = 4.158 states/eV/f.u.

Cell and atoms, written as POSCAR:
```
LaAl2Mo
1.0
-1.890 2.426 4.476
1.890 -2.426 4.476
1.890 2.426 -4.476
La Al Mo
1 2 1
direct
0.000 0.000 0.000
0.497 0.497 0.000
0.726 0.226 0.500
0.265 0.765 0.500
```

Bottom line: version C, by a margin of 0.058 eV/atom.

Version A
A plane-wave DFT calculation with GGA-PBE was carried out for crystalline LaAl2Mo at its relaxed geometry.

Results
theoretical density = 5.7 g/cm3
DOS(E_F) = 3.390 states/eV/f.u.

Cell and atoms, written as POSCAR:
```
LaAl2Mo
1.0
4.542 -1.460 0.000
4.542 1.460 0.000
-0.737 0.000 6.329
La Al Mo
1 2 1
direct
0.000 0.000 0.000
0.239 0.239 0.679
0.761 0.761 0.321
0.500 0.500 0.500
```

Version B
A plane-wave DFT calculation with GGA-PBE was carried out for crystalline LaAl2Mo at its relaxed geometry.

Results
theoretical density = 5.8 g/cm3
DOS(E_F) = 4.439 states/eV/f.u.

Cell and atoms, written as POSCAR:
```
LaAl2Mo
1.0
0.000 3.455 3.455
3.455 0.000 3.455
3.455 3.455 0.000
La Al Mo
1 2 1
direct
0.000 0.000 0.000
0.250 0.250 0.250
0.750 0.750 0.750
0.500 0.500 0.500
```

Version C
A plane-wave DFT calculation with GGA-PBE was carried out for crystalline LaAl2Mo at its relaxed geometry.

Results
theoretical density = 5.8 g/cm3
DOS(E_F) = 3.579 states/eV/f.u.

Cell and atoms, written as POSCAR:
```
LaAl2Mo
1.0
3.017 0.000 0.000
0.000 3.729 0.000
0.000 0.000 7.340
La Al Mo
1 2 1
direct
0.000 0.000 0.000
0.000 0.000 0.469
0.500 0.500 0.673
0.500 0.500 0.302
```

Version D
A plane-wave DFT calculation with GGA-PBE was carried out for crystalline LaAl2Mo at its relaxed geometry.

Results
theoretical density = 6.2 g/cm3
DOS(E_F) = 2.348 states/eV/f.u.

Cell and atoms, written as POSCAR:
```
LaAl2Mo
1.0
0.000 3.390 3.390
3.390 0.000 3.390
3.390 3.390 0.000
La Al Mo
1 2 1
direct
0.000 0.000 0.000
0.250 0.250 0.250
0.500 0.500 0.500
0.750 0.750 0.750
```

Bottom line: version A, by a margin of 0.050 eV/atom.

Version A
A plane-wave DFT calculation with GGA-PBE was carried out for crystalline LaAl2Mo at its relaxed geometry.

Results
theoretical density = 5.9 g/cm3
DOS(E_F) = 3.184 states/eV/f.u.

Cell and atoms, written as POSCAR:
```
LaAl2Mo
1.0
4.871 -1.462 0.000
4.871 1.462 0.000
-1.080 0.000 5.743
La Al Mo
1 2 1
direct
0.000 0.000 0.000
0.234 0.234 0.681
0.505 0.505 0.490
0.774 0.774 0.313
```

Version B
A plane-wave DFT calculation with GGA-PBE was carried out for crystalline LaAl2Mo at its relaxed geometry.

Results
theoretical density = 5.9 g/cm3
DOS(E_F) = 4.389 states/eV/f.u.

Cell and atoms, written as POSCAR:
```
LaAl2Mo
1.0
3.906 0.000 0.000
0.000 4.307 0.000
0.000 0.000 4.801
La Al Mo
1 2 1
direct
0.000 0.000 0.000
0.000 0.500 0.500
0.500 0.000 0.500
0.500 0.500 0.000
```

Bottom line: version A, by a margin of 0.076 eV/atom.

Version A
A plane-wave DFT calculation with GGA-PBE was carried out for crystalline LaAl3Mo at its relaxed geometry.

Results
theoretical density = 3.7 g/cm3
DOS(E_F) = 20.049 states/eV/f.u.

Cell and atoms, written as POSCAR:
```
LaAl3Mo
1.0
5.236 0.000 0.000
0.000 5.236 0.000
0.000 0.000 5.236
La Al Mo
1 3 1
direct
0.000 0.000 0.000
0.000 0.000 0.500
0.000 0.500 0.000
0.500 0.000 0.000
0.500 0.500 0.500
```

Version B
A plane-wave DFT calculation with GGA-PBE was carried out for crystalline LaAl3Mo at its relaxed geometry.

Results
theoretical density = 4.6 g/cm3
DOS(E_F) = 2.700 states/eV/f.u.

Cell and atoms, written as POSCAR:
```
LaAl3Mo
1.0
4.864 0.000 0.000
0.000 4.864 0.000
0.000 0.000 4.864
La Al Mo
1 3 1
direct
0.000 0.000 0.000
0.000 0.500 0.500
0.500 0.000 0.500
0.500 0.500 0.000
0.500 0.500 0.500
```

Bottom line: version B, by a margin of 2.317 eV/atom.

Version A
A plane-wave DFT calculation with GGA-PBE was carried out for crystalline La2Al2Mo at its relaxed geometry.

Results
theoretical density = 5.8 g/cm3
DOS(E_F) = 5.929 states/eV/f.u.

Cell and atoms, written as POSCAR:
```
La2Al2Mo
1.0
8.814 0.000 0.000
0.000 8.814 0.000
0.000 0.000 3.158
La Al Mo
4 4 2
direct
0.125 0.375 0.000
0.375 0.875 0.000
0.625 0.125 0.000
0.875 0.625 0.000
0.175 0.675 0.500
0.325 0.175 0.500
0.675 0.825 0.500
0.825 0.325 0.500
0.000 0.000 0.000
0.500 0.500 0.000
```

Version B
A plane-wave DFT calculation with GGA-PBE was carried out for crystalline La2Al2Mo at its relaxed geometry.

Results
theoretical density = 5.5 g/cm3
DOS(E_F) = 5.726 states/eV/f.u.

Cell and atoms, written as POSCAR:
```
La2Al2Mo
1.0
-1.834 1.834 9.550
1.834 -1.834 9.550
1.834 1.834 -9.550
La Al Mo
2 2 1
direct
0.094 0.094 0.000
0.906 0.906 0.000
0.250 0.750 0.500
0.750 0.250 0.500
0.500 0.500 0.000
```

Bottom line: version B, by a margin of 0.339 eV/atom.

Version A
A plane-wave DFT calculation with GGA-PBE was carried out for crystalline LaAlMo3 at its relaxed geometry.

Results
theoretical density = 6.8 g/cm3
DOS(E_F) = 11.177 states/eV/f.u.

Cell and atoms, written as POSCAR:
```
LaAlMo3
1.0
4.796 0.000 0.000
0.000 4.796 0.000
0.000 0.000 4.796
La Al Mo
1 1 3
direct
0.000 0.000 0.000
0.500 0.500 0.500
0.000 0.000 0.500
0.000 0.500 0.000
0.500 0.000 0.000
```

Version B
A plane-wave DFT calculation with GGA-PBE was carried out for crystalline LaAlMo3 at its relaxed geometry.

Results
theoretical density = 7.0 g/cm3
DOS(E_F) = 7.085 states/eV/f.u.

Cell and atoms, written as POSCAR:
```
LaAlMo3
1.0
4.749 0.000 0.000
0.000 4.749 0.000
0.000 0.000 4.749
La Al Mo
1 1 3
direct
0.000 0.000 0.000
0.500 0.500 0.500
0.000 0.500 0.500
0.500 0.000 0.500
0.500 0.500 0.000
```

Bottom line: version B, by a margin of 1.082 eV/atom.